First-principles (PBE-GGA) data for Li4Ca3Ag4 after structural relaxation, as listed in Alexandria via LeMat-Bulk.

Summary:
Calculated volume   22.798 Å³ per atom
E above lowest polymorph   0 meV/atom
Density   3.84 g/cm³

Cell: 4.369 7.667 14.972 Å, 90.00 90.00 90.00°
Space group Immm (No. 71)
Symmetry-distinct sites (fractional):
1 Li 0.000 0.194 0.175 [8 per cell]
2 Ca 0.000 0.000 0.377 [4 per cell]
3 Ca 0.000 0.500 0.500 [2 per cell]
4 Ag 0.000 0.311 0.000 [4 per cell]
5 Ag 0.000 0.500 0.281 [4 per cell]